Rb2CaGaO4: relaxed, GGA-PBE.

## Properties
Total energy = -4.87 eV per atom
Raw formation energy = -1.5189 eV/atom
V = 1530.6 Å³ per cell

a = 5.7278 Å, b = 12.6526 Å, c = 21.1196 Å
α = 90.00°, β = 90.00°, γ = 90.00°
Last column: nearest neighbours and their distance in Å.
Space group Fddd (No. 70, origin choice 2)
Inequivalent atoms, fractional coordinates:
Rb 0.1250 0.1250 0.3112  4 O 3.02-3.36
Ca 0.1250 0.1250 0.1250  4 O 2.20
Ga 0.1250 0.1250 0.6250  4 O 1.89
O 0.0865 0.2844 0.8332  1 Ga 1.89


RbCa2GaO4: relaxed, GGA-PBE.

## Properties
Total energy = -5.81 eV per atom
Raw formation energy = -2.3335 eV/atom
V = 501.8 Å³ per cell

a = 3.3828 Å, b = 12.3927 Å, c = 11.9701 Å
α = 90.00°, β = 90.00°, γ = 90.00°
Last column: nearest neighbours and their distance in Å.
Space group Cmcm (No. 63)
Inequivalent atoms, fractional coordinates:
Rb 0.0000 0.0879 0.2500  8 O 2.89-3.18
Ca 0.0000 0.3711 0.0343  6 O 2.33-2.61
Ga 0.0000 0.1812 0.7500  4 O 1.84-1.96
O 0.0000 0.0000 0.0000  4 Ca 2.36
O 0.0000 0.2498 0.6141  1 Ga 1.84
O 0.0000 0.3992 0.2500  2 Ga 1.96


CaGa2ReO8: relaxed, GGA-PBE.

## Properties
Total energy = -6.73 eV per atom
Raw formation energy = -1.7134 eV/atom
V = 141.0 Å³ per cell

a = 4.6349 Å, b = 6.4109 Å, c = 4.7455 Å
α = 90.00°, β = 90.10°, γ = 90.00°
Last column: nearest neighbours and their distance in Å.
Space group P2/m (No. 10)
Inequivalent atoms, fractional coordinates:
Ca 0.0000 0.0000 0.0000  6 O 2.26-2.29
Ga 0.5000 0.2609 0.5000  6 O 1.99-2.04
Re 0.0000 0.5000 0.0000  6 O 1.87-1.97
O 0.2103 0.2929 0.8143  1 Re 1.87, 1 Ga 2.02
O 0.2862 0.5000 0.3070  1 Re 1.97, 2 Ga 2.04
O 0.3132 0.0000 0.3644  2 Ga 1.99, 1 O 2.16


CaGaReO6: relaxed, GGA-PBE.

## Properties
Total energy = -7.16 eV per atom
Raw formation energy = -1.9160 eV/atom
V = 219.9 Å³ per cell

a = 4.8425 Å, b = 4.8425 Å, c = 9.3774 Å
α = 90.00°, β = 90.00°, γ = 90.00°
Last column: nearest neighbours and their distance in Å.
Space group P4_2nm (No. 102)
Inequivalent atoms, fractional coordinates:
Ca 0.0000 0.0000 0.0000  6 O 2.25-2.38
Ga 0.0000 0.0000 0.3302  6 O 2.00-2.06
Re 0.0000 0.0000 0.6663  6 O 1.87-1.93
O 0.1718 0.1718 0.5030  1 Re 1.93, 1 Ga 2.00
O 0.2078 0.2078 0.7961  1 Re 1.87, 1 Ga 2.03
O 0.2226 0.2226 0.1831  1 Re 1.91, 1 Ga 2.06


Which of these has the lowest total energy?
CaGaReO6


Among the records above, which one has the highest raw formation energy?
Rb2CaGaO4